Record 1
This record from Alexandria via LeMat-Bulk describes a relaxed TaCo2Se crystal. The functional is PBE.

Results
Total moment = 0.0 μB/f.u.
ΔE_f (raw) = 43.1 kJ per mole of atoms
Theoretical density = 8322 kg/m³
Space-group type = I-42d

a = 5.3590 Å, b = 5.3590 Å, c = 6.4742 Å
α = 65.55°, β = 65.55°, γ = 90.00°
With the nearest neighbours (Å) after each atom.
Sites, in units of the cell vectors:
Ta1 0.7500 0.2500 0.5000  4 Co 2.38
Ta2 0.0000 0.0000 0.0000  4 Co 2.38
Se1 0.5000 0.5000 0.0000  4 Co 2.24
Se2 0.2500 0.7500 0.5000  4 Co 2.24
Co1 0.1475 0.6250 0.2500  2 Se 2.24, 2 Ta 2.38
Co2 0.8750 0.8525 0.7500  2 Se 2.24, 2 Ta 2.38
Co3 0.6025 0.1250 0.2500  2 Se 2.24, 2 Ta 2.38
Co4 0.3750 0.3975 0.7500  2 Se 2.24, 2 Ta 2.38

---

Record 2
This record from Alexandria via LeMat-Bulk describes a relaxed TbLuBeHg crystal. The functional is PBE.

Results
Total moment = 0.0 μB/f.u.
Theoretical density = 9903 kg/m³
ΔE_f = -0.13 eV per atom
Space-group type = F-43m

a = 5.0512 Å, b = 5.0512 Å, c = 5.0512 Å
α = 60.00°, β = 60.00°, γ = 60.00°
With the nearest neighbours (Å) after each atom.
Sites, in units of the cell vectors:
Lu1 0.7500 0.7500 0.7500  4 Hg 3.09, 4 Be 3.09
Be1 0.0000 0.0000 0.0000  4 Tb 3.09, 4 Lu 3.09
Tb1 0.2500 0.2500 0.2500  4 Hg 3.09, 4 Be 3.09
Hg1 0.5000 0.5000 0.5000  4 Tb 3.09, 4 Lu 3.09

---

Record 3
This record from Alexandria via LeMat-Bulk describes a relaxed NdSnRh crystal. The functional is PBE.

Results
Total moment = 0.0 μB/f.u.
Theoretical density = 9066 kg/m³
ΔE_f = -0.58 eV per atom
Space-group type = I4mm

a = 3.4001 Å, b = 3.4001 Å, c = 6.2753 Å
α = 105.72°, β = 105.72°, γ = 90.00°
With the nearest neighbours (Å) after each atom.
Sites, in units of the cell vectors:
Nd1 0.6293 0.6293 0.2587  4 Rh 3.11, 5 Sn 3.39-3.40, 4 Nd 3.40
Sn1 0.9217 0.9217 0.8433  4 Rh 2.79
Rh1 0.2990 0.2990 0.5980  4 Sn 2.79, 4 Nd 3.11

---

Record 4
This record from Alexandria via LeMat-Bulk describes a relaxed LaCoRe crystal. The functional is PBE.

Results
Total moment = 0.0 μB/f.u.
Theoretical density = 11620 kg/m³
ΔE_f = 0.32 eV per atom
Space-group type = I4mm

a = 6.5066 Å, b = 6.5066 Å, c = 2.9862 Å
α = 76.73°, β = 76.73°, γ = 26.53°
With the nearest neighbours (Å) after each atom.
Sites, in units of the cell vectors:
La1 0.3361 0.3361 0.6639  4 La 2.99, 4 Co 3.19, 4 Re 3.27
Re1 0.6333 0.6333 0.3667  4 Co 2.46
Co1 0.0306 0.0306 0.9694  4 Re 2.46

---

Record 5
This record from Alexandria via LeMat-Bulk describes a relaxed CrSi4Mo crystal. The functional is PBE.

Results
Total moment = 2.1 μB/f.u.
ΔE_f (raw) = 35.7 kJ per mole of atoms
Theoretical density = 5515 kg/m³
Space-group type = F-43m

a = 4.8034 Å, b = 4.8034 Å, c = 4.8034 Å
α = 60.00°, β = 60.00°, γ = 60.00°
With the nearest neighbours (Å) after each atom.
Sites, in units of the cell vectors:
Si1 0.3752 0.3752 0.3752  6 Si 2.40-2.41
Si2 0.8744 0.3752 0.3752  6 Si 2.40-2.41
Si3 0.3752 0.3752 0.8744  6 Si 2.40-2.41
Si4 0.3752 0.8744 0.3752  6 Si 2.40-2.41
Cr1 0.7500 0.7500 0.7500  12 Si 2.82, 4 Mo 2.94
Mo1 0.0000 0.0000 0.0000  12 Si 2.82, 4 Cr 2.94

---

Record 6
This record from Alexandria via LeMat-Bulk describes a relaxed NaTlIn2Te4 crystal. The functional is PBE.

Results
Total moment = 0.0 μB/f.u.
ΔE_f (raw) = -20.7 kJ per mole of atoms
Theoretical density = 5282 kg/m³
Space-group type = I222

a = 7.5069 Å, b = 7.3916 Å, c = 7.3916 Å
α = 73.25°, β = 59.48°, γ = 59.48°
With the nearest neighbours (Å) after each atom.
Sites, in units of the cell vectors:
Te1 0.4890 0.0907 0.4839  1 In 2.70
Te2 0.9364 0.4839 0.0907  1 In 2.70
Te3 0.5110 0.5161 0.9093  1 In 2.70
Te4 0.0636 0.9093 0.5161  1 In 2.70
In1 0.7968 0.7032 0.7032  2 Te 2.70
In2 0.2032 0.2968 0.2968  2 Te 2.70
Tl1 0.0000 0.0000 0.0000  8 Te 3.58-3.91
Na1 0.5000 0.5000 0.5000  4 Te 3.11

---

Record 7
This record from Alexandria via LeMat-Bulk describes a relaxed CsTl4HgSb2 crystal. The functional is PBE.

Results
Total moment = 0.0 μB/f.u.
ΔE_f (raw) = -12.7 kJ per mole of atoms
Theoretical density = 7783 kg/m³
Space-group type = P4/mmm

a = 5.2700 Å, b = 5.2700 Å, c = 10.7131 Å
α = 90.00°, β = 90.00°, γ = 90.00°
With the nearest neighbours (Å) after each atom.
Sites, in units of the cell vectors:
Hg1 0.0000 0.0000 0.0000  8 Tl 3.29
Cs1 0.0000 0.0000 0.5000  8 Sb 4.01, 8 Tl 4.30
Tl1 0.5000 0.0000 0.8168  2 Sb 3.25, 2 Hg 3.29
Tl2 0.5000 0.0000 0.1832  2 Sb 3.25, 2 Hg 3.29
Tl3 0.0000 0.5000 0.1832  2 Sb 3.25, 2 Hg 3.29
Tl4 0.0000 0.5000 0.8168  2 Sb 3.25, 2 Hg 3.29
Sb1 0.5000 0.5000 0.3607  1 Sb 2.99, 4 Tl 3.25
Sb2 0.5000 0.5000 0.6393  1 Sb 2.99, 4 Tl 3.25

---

Record 8
This record from Alexandria via LeMat-Bulk describes a relaxed CsPdC2 crystal. The functional is PBE.

Results
Total moment = 1.0 μB/f.u.
Theoretical density = 5048 kg/m³
ΔE_f = 1.51 eV per atom
Space-group type = I-42d

a = 6.3062 Å, b = 6.3062 Å, c = 6.2340 Å
α = 59.62°, β = 59.62°, γ = 90.00°
With the nearest neighbours (Å) after each atom.
Sites, in units of the cell vectors:
C1 0.4414 0.1250 0.2500  2 Pd 1.96
C2 0.3086 0.6250 0.2500  2 Pd 1.96
C3 0.3750 0.5586 0.7500  2 Pd 1.96
C4 0.8750 0.6914 0.7500  2 Pd 1.96
Pd1 0.2500 0.7500 0.5000  4 C 1.96
Pd2 0.5000 0.5000 0.0000  4 C 1.96
Cs1 0.0000 0.0000 0.0000  8 C 3.34-3.65
Cs2 0.7500 0.2500 0.5000  8 C 3.34-3.65

---

Record 9
This record from Alexandria via LeMat-Bulk describes a relaxed LaV2Ir crystal. The functional is PBE.

Results
Total moment = 0.0 μB/f.u.
Theoretical density = 10815 kg/m³
ΔE_f = 0.12 eV per atom
Space-group type = Fm-3m

a = 4.5472 Å, b = 4.5472 Å, c = 4.5472 Å
α = 60.00°, β = 60.00°, γ = 60.00°
With the nearest neighbours (Å) after each atom.
Sites, in units of the cell vectors:
V1 0.2500 0.2500 0.2500  4 Ir 2.78, 4 La 2.78
V2 0.7500 0.7500 0.7500  4 La 2.78, 4 Ir 2.78
La1 0.0000 0.0000 0.0000  8 V 2.78
Ir1 0.5000 0.5000 0.5000  8 V 2.78

---

Record 10
This record from Alexandria via LeMat-Bulk describes a relaxed YTm2NpP4 crystal. The functional is PBE.

Results
Total moment = 3.6 μB/f.u.
Theoretical density = 7441 kg/m³
ΔE_f = -1.42 eV per atom
Space-group type = P2/m

a = 3.9583 Å, b = 6.8644 Å, c = 6.8560 Å
α = 109.34°, β = 90.00°, γ = 90.00°
With the nearest neighbours (Å) after each atom.
Sites, in units of the cell vectors:
Np1 0.5000 0.5000 0.0000  6 P 2.78-2.80
P1 0.0000 0.7473 0.2503  3 Tm 2.78-2.81, 2 Np 2.80, 1 Y 2.81
P2 0.5000 0.7453 0.7488  1 Np 2.78, 3 Tm 2.79-2.82, 2 Y 2.82
P3 0.0000 0.2527 0.7497  3 Tm 2.78-2.81, 2 Np 2.80, 1 Y 2.81
P4 0.5000 0.2547 0.2512  1 Np 2.78, 3 Tm 2.79-2.82, 2 Y 2.82
Tm1 0.5000 0.0000 0.5000  6 P 2.81-2.82
Tm2 0.0000 0.5000 0.5000  6 P 2.78-2.79
Y1 0.0000 0.0000 0.0000  6 P 2.81-2.82

---

Record 11
This record from Alexandria via LeMat-Bulk describes a relaxed NaTl2V crystal. The functional is PBE.

Results
Total moment = 3.5 μB/f.u.
Theoretical density = 7278 kg/m³
ΔE_f = 0.64 eV per atom
Space-group type = I-42d

a = 4.6594 Å, b = 4.6594 Å, c = 10.6677 Å
α = 77.39°, β = 77.39°, γ = 90.00°
With the nearest neighbours (Å) after each atom.
Sites, in units of the cell vectors:
Na1 0.2500 0.7500 0.5000  4 Tl 3.07, 4 V 3.29
Na2 0.5000 0.5000 0.0000  4 Tl 3.07, 4 V 3.29
Tl1 0.3750 0.3504 0.7500  2 V 2.98, 2 Na 3.07, 2 Tl 3.14
Tl2 0.1004 0.6250 0.2500  2 V 2.98, 2 Na 3.07, 2 Tl 3.14
Tl3 0.8750 0.8996 0.7500  2 V 2.98, 2 Na 3.07, 2 Tl 3.14
Tl4 0.6496 0.1250 0.2500  2 V 2.98, 2 Na 3.07, 2 Tl 3.14
V1 0.0000 0.0000 0.0000  4 Tl 2.98, 4 Na 3.29
V2 0.7500 0.2500 0.5000  4 Tl 2.98, 4 Na 3.29

---

Record 12
This record from Alexandria via LeMat-Bulk describes a relaxed PmAsPt4 crystal. The functional is PBE.

Results
Total moment = 0.0 μB/f.u.
Theoretical density = 15082 kg/m³
ΔE_f = -0.63 eV per atom
Space-group type = Pmma

a = 4.1962 Å, b = 7.1151 Å, c = 7.3773 Å
α = 90.00°, β = 90.00°, γ = 90.00°
With the nearest neighbours (Å) after each atom.
Sites, in units of the cell vectors:
Pt1 0.5000 0.6949 0.4493  2 As 2.62, 2 Pt 2.80-2.87
Pt2 0.5000 0.3051 0.9493  2 As 2.62, 2 Pt 2.80-2.87
Pt3 0.0000 0.0000 0.5000  2 As 2.47
Pt4 0.0000 0.0000 0.0000  2 As 2.47
Pt5 0.5000 0.6949 0.0507  2 As 2.62, 2 Pt 2.80-2.87
Pt6 0.5000 0.3051 0.5507  2 As 2.62, 2 Pt 2.80-2.87
Pt7 0.5000 0.9344 0.7500  8 Pt 2.80-3.02, 2 As 2.98, 2 Pm 2.99
Pt8 0.5000 0.0656 0.2500  8 Pt 2.80-3.02, 2 As 2.98, 2 Pm 2.99
As1 0.0000 0.2310 0.7500  6 Pt 2.47-2.62
As2 0.0000 0.7690 0.2500  6 Pt 2.47-2.62
Pm1 0.0000 0.6345 0.7500  1 As 2.87, 8 Pt 2.99-3.19
Pm2 0.0000 0.3655 0.2500  1 As 2.87, 8 Pt 2.99-3.19